DFT (GGA+U) results for crystalline LiCrCF2 at its relaxed geometry.

a = 3.364 Å, b = 5.002 Å, c = 3.364 Å
α = 90.00°, β = 90.00°, γ = 90.00°
Positions (direct):
C1 0.500 0.500 0.500
Li1 0.000 0.000 0.000
F1 0.500 0.000 0.000
F2 0.000 0.000 0.500
Cr1 0.000 0.500 0.000

## Properties
Theoretical density, g cm⁻³: 3.20
Volume, Å³/atom: 11.3
Uncorrected energy, eV for the cell shown: -23.277